## AsPb (GGA-PBEsol)

Data for a geometry-optimized AsPb structure.

Cell: 9.350 9.350 9.350 Å, 22.17 22.17 22.17°
Atoms (fractional coordinates):
As1 0.140 0.140 0.140
As2 0.860 0.860 0.860
Pb1 0.383 0.383 0.383
Pb2 0.617 0.617 0.617

Summary:
Formation energy = 0.06 eV/atom

***

## As2Pb3 (GGA-PBEsol)

Data for a geometry-optimized As2Pb3 structure.

Cell: 9.130 9.130 9.130 Å, 27.11 27.11 27.11°
Atoms (fractional coordinates):
As1 0.100 0.100 0.100
As2 0.900 0.900 0.900
Pb1 0.287 0.287 0.287
Pb2 0.500 0.500 0.500
Pb3 0.713 0.713 0.713

Summary:
Energy above the most stable polymorph in this dataset = 0.0000 eV/atom
Formation energy = -0.01 eV/atom

***

## As2Pb3 (GGA-PBEsol)

Data for a geometry-optimized As2Pb3 structure.

Cell: 7.714 7.109 9.591 Å, 52.50 46.98 80.52°
Atoms (fractional coordinates):
As1 0.211 0.789 0.398
As2 0.648 0.852 0.461
As3 0.789 0.211 0.602
As4 0.852 0.648 0.039
Pb1 0.095 0.302 0.136
Pb2 0.114 0.783 0.155
Pb3 0.302 0.095 0.467
Pb4 0.434 0.434 0.566
Pb5 0.684 0.684 0.816
Pb6 0.783 0.114 0.948

Summary:
Energy above the most stable polymorph in this dataset = 0.0784 eV/atom
Formation energy = 0.06 eV/atom

***

## AsPb8 (GGA-PBEsol)

Data for a geometry-optimized AsPb8 structure.

Cell: 7.685 7.685 7.685 Å, 95.63 95.63 143.49°
Atoms (fractional coordinates):
As1 0.000 0.000 0.000
Pb1 0.000 0.329 0.329
Pb2 0.000 0.671 0.671
Pb3 0.329 0.000 0.329
Pb4 0.338 0.338 0.677
Pb5 0.338 0.662 0.000
Pb6 0.662 0.338 0.000
Pb7 0.662 0.662 0.323
Pb8 0.671 0.000 0.671

Summary:
Formation energy = 0.06 eV/atom

***

## As2Pb3 (GGA-PBEsol)

Data for a geometry-optimized As2Pb3 structure.

Cell: 4.983 4.983 6.553 Å, 90.00 90.00 120.00°
Atoms (fractional coordinates):
As1 0.333 0.667 0.284
As2 0.667 0.333 0.716
Pb1 0.000 0.000 0.500
Pb2 0.333 0.667 0.829
Pb3 0.667 0.333 0.171

Summary:
Energy above the most stable polymorph in this dataset = 0.0608 eV/atom
Formation energy = 0.05 eV/atom

***

## As3Pb5 (GGA-PBEsol)

Data for a geometry-optimized As3Pb5 structure.

Cell: 8.914 8.914 6.432 Å, 90.00 90.00 120.00°
Atoms (fractional coordinates):
As1 0.000 0.375 0.250
As2 0.000 0.625 0.750
As3 0.375 0.000 0.250
As4 0.375 0.375 0.750
As5 0.625 0.000 0.750
As6 0.625 0.625 0.250
Pb1 0.000 0.289 0.750
Pb2 0.000 0.711 0.250
Pb3 0.289 0.000 0.750
Pb4 0.289 0.289 0.250
Pb5 0.333 0.667 0.000
Pb6 0.333 0.667 0.500
Pb7 0.667 0.333 0.000
Pb8 0.667 0.333 0.500
Pb9 0.711 0.000 0.250
Pb10 0.711 0.711 0.750

Summary:
Formation energy = 0.06 eV/atom

***

## AsPb (GGA-PBEsol)

Data for a geometry-optimized AsPb structure.

Cell: 3.555 3.555 9.495 Å, 90.00 90.00 120.00°
Atoms (fractional coordinates):
As1 0.333 0.667 0.076
As2 0.667 0.333 0.924
Pb1 0.333 0.667 0.640
Pb2 0.667 0.333 0.360

Summary:
Formation energy = 0.07 eV/atom

***

## As3Pb (GGA-PBEsol)

Data for a geometry-optimized As3Pb structure.

Cell: 5.697 5.697 5.697 Å, 143.90 126.33 66.40°
Atoms (fractional coordinates):
As1 0.000 0.000 0.000
As2 0.210 0.710 0.500
As3 0.790 0.290 0.500
Pb1 0.500 0.500 0.000

Summary:
Energy above the most stable polymorph in this dataset = 0.1484 eV/atom
Formation energy = 0.23 eV/atom

***

## AsPb (GGA-PBEsol)

Data for a geometry-optimized AsPb structure.

Cell: 6.134 6.134 3.567 Å, 90.00 90.00 131.00°
Atoms (fractional coordinates):
As1 0.084 0.916 0.750
As2 0.916 0.084 0.250
Pb1 0.359 0.641 0.750
Pb2 0.641 0.359 0.250

Summary:
Formation energy = 0.11 eV/atom

***

## As3Pb (GGA-PBEsol)

Data for a geometry-optimized As3Pb structure.

Cell: 5.542 7.915 4.356 Å, 90.00 90.00 90.00°
Atoms (fractional coordinates):
As1 0.250 0.014 0.008
As2 0.250 0.250 0.379
As3 0.250 0.486 0.008
As4 0.750 0.514 0.992
As5 0.750 0.750 0.621
As6 0.750 0.986 0.992
Pb1 0.250 0.750 0.443
Pb2 0.750 0.250 0.557

Summary:
Energy above the most stable polymorph in this dataset = 0.0000 eV/atom
Formation energy = 0.08 eV/atom

***

## AsPb (GGA-PBEsol)

Data for a geometry-optimized AsPb structure.

Cell: 4.252 4.252 8.387 Å, 90.00 90.00 120.00°
Atoms (fractional coordinates):
As1 0.333 0.667 0.000
As2 0.667 0.333 0.500
Pb1 0.333 0.667 0.653
Pb2 0.667 0.333 0.153

Summary:
Formation energy = 0.20 eV/atom

***

## As8Pb (GGA-PBEsol)

Data for a geometry-optimized As8Pb structure.

Cell: 6.672 6.672 6.672 Å, 97.20 97.20 138.53°
Atoms (fractional coordinates):
As1 0.000 0.346 0.346
As2 0.000 0.654 0.654
As3 0.305 0.305 0.611
As4 0.305 0.695 0.000
As5 0.346 0.000 0.346
As6 0.654 0.000 0.654
As7 0.695 0.305 0.000
As8 0.695 0.695 0.389
Pb1 0.000 0.000 0.000

Summary:
Formation energy = 0.40 eV/atom

***

Which value of formation energy does entry 12 give?
0.40 eV/atom

***

Repeat the seventh record exactly.
## AsPb (GGA-PBEsol)

Data for a geometry-optimized AsPb structure.

Cell: 3.555 3.555 9.495 Å, 90.00 90.00 120.00°
Atoms (fractional coordinates):
As1 0.333 0.667 0.076
As2 0.667 0.333 0.924
Pb1 0.333 0.667 0.640
Pb2 0.667 0.333 0.360

Summary:
Formation energy = 0.07 eV/atom